13
Lattice="-2.7989 4.6517 4.8467 2.7989 -4.6517 4.8467 2.7989 4.6517 -4.8467" Properties=species:S:1:pos:R:3 comment="CaCd6Pt6 PBE relaxed" sg="Immm, No. 71" total_magnetization_mub_per_fu=0.00 formation_enthalpy_0k_ev_per_atom=-0.427 pbc="T T T"
Ca 0.0000 0.0000 0.0000
Cd 2.7989 0.0000 1.7789
Cd 0.0000 3.1461 0.0000
Cd 0.0000 0.0000 3.3396
Cd 0.0000 0.0000 6.3538
Cd 0.0000 6.1573 0.0000
Cd 0.0000 4.6517 3.0678
Pt 1.3995 2.3259 -2.4234
Pt 1.3995 -2.3259 2.4234
Pt 2.7989 2.1915 0.0000
Pt -1.3995 2.3259 2.4234
Pt 1.3995 2.3259 2.4234
Pt 0.0000 2.4602 4.8467

***

5
Lattice="5.1983 0.0000 0.0000 0.0000 5.1983 0.0000 0.0000 0.0000 5.1983" Properties=species:S:1:pos:R:3 comment="CuSn3Br PBE relaxed" e_above_lowest_polymorph_mev_per_atom=0.0 sg="Pm-3m, No. 221" total_magnetization_mub_per_fu=0.00 pbc="T T T"
Cu 0.0000 0.0000 0.0000
Sn 0.0000 0.0000 2.5991
Sn 0.0000 2.5991 0.0000
Sn 2.5991 0.0000 0.0000
Br 2.5991 2.5991 2.5991

***

5
Lattice="4.9323 0.0000 0.0000 0.0000 4.9323 0.0000 0.0000 0.0000 4.4464" Properties=species:S:1:pos:R:3 comment="FeCSeBr2 PBE relaxed" e_above_lowest_polymorph_mev_per_atom=171.7 sg="P4/mmm, No. 123" total_magnetization_mub_per_fu=3.87 pbc="T T T"
Fe 0.0000 0.0000 0.0000
C 2.4662 2.4662 2.2232
Se 0.0000 0.0000 2.2232
Br 0.0000 2.4662 0.0000
Br 2.4662 0.0000 0.0000

***

9
Lattice="6.9291 0.0000 0.0000 -3.4645 6.0007 0.0000 0.0000 0.0000 6.9167" Properties=species:S:1:pos:R:3 comment="KTmGeCl6 PBE relaxed" sg="P312, No. 149" total_magnetization_mub_per_fu=0.00 final_energy_ev_per_atom=-4.112 pbc="T T T"
K 0.0000 0.0000 0.0000
Tm 3.4645 2.0002 3.4583
Ge 0.0000 4.0005 3.4583
Cl 2.5586 0.0496 4.9518
Cl 1.3223 2.1911 1.9649
Cl 4.3704 0.0496 1.9649
Cl 2.2281 3.7601 4.9518
Cl 5.6068 2.1911 4.9518
Cl 4.7009 3.7601 1.9649

***

4
Lattice="1.5801 -2.3908 0.0000 1.5801 2.3908 0.0000 0.0000 0.0000 9.0118" Properties=species:S:1:pos:R:3 comment="LaCrTc2 PBE relaxed" e_above_lowest_polymorph_mev_per_atom=167.0 sg="Cmmm, No. 65" total_magnetization_mub_per_fu=0.00 formation_enthalpy_0k_ev_per_atom=0.466 pbc="T T T"
La 0.0000 0.0000 0.0000
Cr 0.0000 0.0000 4.5059
Tc 1.5801 0.0000 2.6386
Tc 1.5801 0.0000 6.3732

***

5
Lattice="4.3485 0.0000 0.0000 0.0000 4.3485 0.0000 0.0000 0.0000 4.3485" Properties=species:S:1:pos:R:3 comment="TaSiOs3 PBE relaxed" e_above_lowest_polymorph_mev_per_atom=0.0 sg="Pm-3m, No. 221" total_magnetization_mub_per_fu=0.00 pbc="T T T"
Ta 0.0000 0.0000 0.0000
Si 2.1742 2.1742 2.1742
Os 0.0000 2.1742 2.1742
Os 2.1742 0.0000 2.1742
Os 2.1742 2.1742 0.0000

***

5
Lattice="3.8530 0.0000 0.0000 0.0000 3.8530 0.0000 0.0000 0.0000 5.1474" Properties=species:S:1:pos:R:3 comment="CaBIN2 PBE relaxed" e_above_lowest_polymorph_mev_per_atom=0.0 sg="P4/mmm, No. 123" total_magnetization_mub_per_fu=0.00 pbc="T T T"
Ca 0.0000 0.0000 0.0000
B 1.9265 1.9265 2.5737
I 1.9265 1.9265 0.0000
N 0.0000 1.9265 2.5737
N 1.9265 0.0000 2.5737

***

20
Lattice="6.8600 -5.7933 0.0000 6.8600 5.7933 0.0000 -3.4856 0.0000 7.1058" Properties=species:S:1:pos:R:3 comment="LiP2PbSe6 PBE relaxed" sg="C2/c, No. 15" total_magnetization_mub_per_fu=0.00 final_energy_ev_per_atom=-3.979 pbc="T T T"
Li 4.2458 3.0212 5.3294
Li 5.9886 -3.0212 1.7765
P 0.4943 0.8275 4.8810
P 2.2371 -0.8275 1.3281
P 7.9974 0.8275 5.7778
P 9.7402 -0.8275 2.2248
Pb 5.9886 1.6740 1.7765
Pb 4.2458 -1.6740 5.3294
Se -1.2628 0.6135 6.7379
Se 3.3706 2.9121 2.8751
Se 0.4800 -0.6135 3.1850
Se 2.5136 0.8488 5.8780
Se 8.6067 2.9121 0.6778
Se 4.2564 -0.8488 2.3251
Se 5.9780 0.8488 4.7807
Se 1.6277 -2.9121 6.4280
Se 7.7208 -0.8488 1.2278
Se 9.7545 0.6135 3.9208
Se 6.8639 -2.9121 4.2307
Se 11.4973 -0.6135 0.3679

***

4
Lattice="2.7049 0.0000 0.0000 0.0000 2.7049 0.0000 0.0000 0.0000 7.8245" Properties=species:S:1:pos:R:3 comment="TcIrRh2 PBE relaxed" e_above_lowest_polymorph_mev_per_atom=56.6 sg="P4/mmm, No. 123" total_magnetization_mub_per_fu=0.00 formation_enthalpy_0k_ev_per_atom=-0.043 pbc="T T T"
Tc 0.0000 0.0000 0.0000
Ir 0.0000 0.0000 3.9122
Rh 1.3525 1.3525 1.9415
Rh 1.3525 1.3525 5.8830

***

5
Lattice="5.5807 0.0000 0.0000 0.0000 5.5807 0.0000 0.0000 0.0000 4.0847" Properties=species:S:1:pos:R:3 comment="CsY2RuC PBE relaxed" sg="P4/mmm, No. 123" total_magnetization_mub_per_fu=0.37 formation_enthalpy_0k_ev_per_atom=0.770 pbc="T T T"
Cs 0.0000 0.0000 0.0000
Y 0.0000 2.7903 2.0424
Y 2.7903 0.0000 2.0424
Ru 2.7903 2.7903 2.0424
C 2.7903 2.7903 0.0000

***

10
Lattice="7.2611 0.0000 0.0000 0.0000 7.2611 0.0000 0.0000 0.0000 2.9223" Properties=species:S:1:pos:R:3 comment="ZrCu2Pt2 PBE relaxed" e_above_lowest_polymorph_mev_per_atom=127.1 sg="P4/mbm, No. 127" total_magnetization_mub_per_fu=0.00 formation_enthalpy_0k_ev_per_atom=-0.447 pbc="T T T"
Zr 0.0000 0.0000 0.0000
Zr 3.6306 3.6306 0.0000
Cu 0.8634 2.7672 0.0000
Cu 2.7672 6.3977 0.0000
Cu 4.4939 0.8634 0.0000
Cu 6.3977 4.4939 0.0000
Pt 1.2836 4.9141 1.4611
Pt 2.3470 1.2836 1.4611
Pt 4.9141 5.9775 1.4611
Pt 5.9775 2.3470 1.4611

***

4
Lattice="2.9409 0.0000 0.0000 0.0000 2.9409 0.0000 0.0000 0.0000 6.5106" Properties=species:S:1:pos:R:3 comment="Re2NiAs PBE relaxed" sg="P4mm, No. 99" total_magnetization_mub_per_fu=0.00 formation_enthalpy_0k_ev_per_atom=0.137 pbc="T T T"
Re 0.0000 0.0000 0.0000
Re 1.4704 1.4704 1.6645
Ni 1.4704 1.4704 4.7586
As 0.0000 0.0000 3.4141

***

5
Lattice="5.8335 0.0000 0.0000 0.0000 5.8335 0.0000 0.0000 0.0000 6.4300" Properties=species:S:1:pos:R:3 comment="KNaSr2Ni PBE relaxed" e_above_lowest_polymorph_mev_per_atom=22.1 sg="P4/mmm, No. 123" total_magnetization_mub_per_fu=0.00 formation_enthalpy_0k_ev_per_atom=0.164 pbc="T T T"
K 0.0000 0.0000 0.0000
Na 2.9167 2.9167 0.0000
Sr 0.0000 2.9167 3.2150
Sr 2.9167 0.0000 3.2150
Ni 0.0000 0.0000 3.2150

***

8
Lattice="4.9334 0.0000 0.0000 0.0000 4.9334 0.0000 0.0000 0.0000 9.3064" Properties=species:S:1:pos:R:3 comment="Na6AgHg PBE relaxed" e_above_lowest_polymorph_mev_per_atom=0.0 sg="P4/mmm, No. 123" total_magnetization_mub_per_fu=0.00 formation_enthalpy_0k_ev_per_atom=-0.053 pbc="T T T"
Na 0.0000 0.0000 0.0000
Na 0.0000 0.0000 4.6532
Na 0.0000 2.4667 2.2759
Na 0.0000 2.4667 7.0305
Na 2.4667 0.0000 2.2759
Na 2.4667 0.0000 7.0305
Ag 2.4667 2.4667 0.0000
Hg 2.4667 2.4667 4.6532

***

5
Lattice="2.1759 1.2562 6.1014 -2.1759 1.2562 6.1014 0.0000 -2.5125 6.1014" Properties=species:S:1:pos:R:3 comment="SrInGaHIr PBE relaxed" e_above_lowest_polymorph_mev_per_atom=134.7 sg="R3m, No. 160" total_magnetization_mub_per_fu=0.00 pbc="T T T"
Sr 0.0000 0.0000 0.0000
In 0.0000 0.0000 14.6143
Ga 0.0000 0.0000 3.9286
H 0.0000 0.0000 12.6581
Ir 0.0000 0.0000 9.6571

***

4
Lattice="2.7253 0.0000 0.0000 0.0000 4.3210 0.0000 -0.2637 0.0000 4.9546" Properties=species:S:1:pos:R:3 comment="Li2RhAu PBE relaxed" sg="P2/m, No. 10" total_magnetization_mub_per_fu=0.04 formation_enthalpy_0k_ev_per_atom=-0.282 pbc="T T T"
Li 0.5592 0.0000 1.1513
Li 1.9024 0.0000 3.8032
Rh 1.3627 2.1605 0.0000
Au -0.1318 2.1605 2.4773

***

4
Lattice="2.9430 -3.8324 0.0000 2.9430 3.8324 0.0000 0.0000 0.0000 3.1649" Properties=species:S:1:pos:R:3 comment="TaSi2Te PBE relaxed" sg="Cmmm, No. 65" total_magnetization_mub_per_fu=0.00 final_energy_ev_per_atom=-6.024 pbc="T T T"
Ta 0.0000 0.0000 0.0000
Si 1.4715 1.9162 1.5825
Si 1.4715 -1.9162 1.5825
Te 2.9430 0.0000 0.0000

***

5
Lattice="2.6838 1.5495 5.6650 -2.6838 1.5495 5.6650 0.0000 -3.0989 5.6650" Properties=species:S:1:pos:R:3 comment="CaHg2Pb2 PBE relaxed" e_above_lowest_polymorph_mev_per_atom=0.0 sg="R-3m, No. 166" total_magnetization_mub_per_fu=0.00 formation_enthalpy_0k_ev_per_atom=-0.259 pbc="T T T"
Ca 0.0000 0.0000 0.0000
Hg 0.0000 0.0000 6.8354
Hg 0.0000 0.0000 10.1597
Pb 0.0000 0.0000 3.4259
Pb 0.0000 0.0000 13.5691

***

10
Lattice="-3.4086 3.4086 4.7663 3.4086 -3.4086 4.7663 3.4086 3.4086 -4.7663" Properties=species:S:1:pos:R:3 comment="BaHgSF2 PBE relaxed" sg="I4/mcm, No. 140" total_magnetization_mub_per_fu=0.00 final_energy_ev_per_atom=-4.061 pbc="T T T"
Ba 3.4086 0.0000 2.3831
Ba 0.0000 3.4086 2.3831
Hg 0.0000 0.0000 0.0000
Hg 0.0000 0.0000 4.7663
S 0.0000 0.0000 2.3831
S 0.0000 0.0000 7.1494
F 4.4069 0.9983 0.0000
F 0.9983 2.4103 0.0000
F 2.4103 0.9983 4.7663
F -0.9983 2.4103 4.7663

***

7
Lattice="0.0000 4.6426 4.6426 4.6426 0.0000 4.6426 4.6426 4.6426 0.0000" Properties=species:S:1:pos:R:3 comment="BaSrAsO4 PBE relaxed" sg="F-43m, No. 216" total_magnetization_mub_per_fu=0.00 final_energy_ev_per_atom=-5.691 pbc="T T T"
Ba 0.0000 0.0000 0.0000
Sr 6.9639 6.9639 6.9639
As 4.6426 4.6426 4.6426
O 5.6381 3.6470 3.6470
O 3.6470 5.6381 3.6470
O 3.6470 3.6470 5.6381
O 5.6381 5.6381 5.6381

***

12
Lattice="7.4973 -1.9762 0.0000 7.4973 1.9762 0.0000 -4.5484 0.0000 8.9178" Properties=species:S:1:pos:R:3 comment="Pa2S3N PBE relaxed" sg="C2/m, No. 12" total_magnetization_mub_per_fu=0.00 final_energy_ev_per_atom=-8.347 pbc="T T T"
Pa -0.5673 0.0000 4.0058
Pa 4.5587 0.0000 1.7524
Pa 5.8874 0.0000 7.1654
Pa 11.0134 0.0000 4.9121
S 2.3969 0.0000 0.0479
S 2.3472 0.0000 3.3763
S 3.2587 0.0000 6.7671
S 7.1874 0.0000 2.1507
S 8.0989 0.0000 5.5415
S 8.0492 0.0000 8.8699
N -1.8966 0.0000 5.8461
N 12.3427 0.0000 3.0718

***

10
Lattice="11.2043 -2.3595 0.0000 11.2043 2.3595 0.0000 -1.9048 0.0000 6.9741" Properties=species:S:1:pos:R:3 comment="BaCa3Rh PBE relaxed" e_above_lowest_polymorph_mev_per_atom=40.0 sg="C2/m, No. 12" total_magnetization_mub_per_fu=0.00 formation_enthalpy_0k_ev_per_atom=-0.188 pbc="T T T"
Ba 1.5224 0.0000 2.1334
Ba 18.9814 0.0000 4.8407
Ca 2.4949 0.0000 6.5111
Ca 5.4805 0.0000 2.6843
Ca 9.3800 0.0000 1.1639
Ca 11.1238 0.0000 5.8102
Ca 15.0233 0.0000 4.2897
Ca 18.0089 0.0000 0.4630
Rh 5.4425 0.0000 5.7044
Rh 15.0613 0.0000 1.2697

***

4
Lattice="3.4422 0.0000 0.0000 0.0000 4.2002 0.0000 -1.3531 0.0000 6.4111" Properties=species:S:1:pos:R:3 comment="CaTcSb2 PBE relaxed" e_above_lowest_polymorph_mev_per_atom=206.7 sg="P2/m, No. 10" total_magnetization_mub_per_fu=0.00 pbc="T T T"
Ca 0.0000 0.0000 0.0000
Tc 1.0445 0.0000 3.2055
Sb 0.0736 2.1001 4.6092
Sb 2.0155 2.1001 1.8019

***

10
Lattice="6.4303 0.0000 0.0000 0.0000 6.4303 0.0000 0.0000 0.0000 4.0537" Properties=species:S:1:pos:R:3 comment="Sc2Cr2Cu PBE relaxed" e_above_lowest_polymorph_mev_per_atom=0.0 sg="P4/mbm, No. 127" total_magnetization_mub_per_fu=0.00 formation_enthalpy_0k_ev_per_atom=0.246 pbc="T T T"
Sc 1.1726 2.0425 0.0000
Sc 2.0425 5.2576 0.0000
Sc 4.3878 1.1726 0.0000
Sc 5.2576 4.3878 0.0000
Cr 0.6988 3.9140 2.0268
Cr 2.5163 0.6988 2.0268
Cr 3.9140 5.7315 2.0268
Cr 5.7315 2.5163 2.0268
Cu 0.0000 0.0000 2.0268
Cu 3.2151 3.2151 2.0268

***

8
Lattice="-2.8567 2.8567 5.7091 2.8567 -2.8567 5.7091 2.8567 2.8567 -5.7091" Properties=species:S:1:pos:R:3 comment="Np4AsP2Se PBE relaxed" sg="I-4m2, No. 119" total_magnetization_mub_per_fu=15.73 final_energy_ev_per_atom=-9.718 pbc="T T T"
Np 2.8567 0.0000 0.0572
Np 0.0000 0.0000 2.7877
Np 2.8567 0.0000 5.6519
Np 0.0000 0.0000 8.6305
As 0.0000 2.8567 2.8546
P 0.0000 0.0000 0.0000
P 2.8567 0.0000 2.8546
Se 0.0000 0.0000 5.7091